No. 1
Material: TcHgSe2
Method: DFT, PBE
State: optimized geometry

```
4
Lattice="3.140 0.000 0.000 0.000 3.140 0.000 0.000 0.000 10.267" Properties=species:S:1:pos:R:3 pbc="T T T"
Tc 0.000 0.000 0.000
Hg 1.570 1.570 4.829
Se 0.000 0.000 7.896
Se 1.570 1.570 1.145
```

Properties
V   25.303 Å³/atom
Electronic total energy   -4.376 eV/atom

No. 2
Material: TcHgSe2
Method: DFT, PBE
State: optimized geometry

```
4
Lattice="3.205 0.000 0.000 -1.603 2.776 0.000 0.000 0.000 10.283" Properties=species:S:1:pos:R:3 pbc="T T T"
Tc 0.000 0.000 0.000
Hg 0.000 1.851 4.990
Se 0.000 1.851 8.522
Se 1.603 0.925 1.754
```

Properties
V   22.873 Å³/atom
Electronic total energy   -4.559 eV/atom